An optimized crystal structure of Er2Al4ZnAg3, computed with GGA-PBE.

Cell: 4.203 4.203 11.092 Å, 90.00 90.00 90.00°
Element x y z (fractional)
Al: 0.000 0.000 0.000
Al: 0.500 0.000 0.636
Al: 0.000 0.500 0.364
Al: 0.500 0.500 0.000
Ag: 0.000 0.000 0.500
Ag: 0.500 0.000 0.860
Ag: 0.000 0.500 0.140
Er: 0.000 0.500 0.745
Er: 0.500 0.000 0.255
Zn: 0.500 0.500 0.500

Calculated values
Its total magnetization is 0.00 μB per formula unit. For the density of states at the Fermi level, the calculation gives 0.564 states/eV per atom. The value obtained for the total energy is -3.688 eV/atom. Its space group is P-4m2. As for the formation energy: -0.30 eV/atom. For the volume, the calculation gives 19.59 Å³/atom.